[1]
HfSc3Nb at its PBEsol-relaxed geometry. Source: Alexandria, functional meta-GGA SCAN.

a = 4.9717 Å, b = 4.9717 Å, c = 4.9717 Å
α = 90.00°, β = 90.00°, γ = 90.00°
With the nearest neighbours (Å) after each atom.
Fractional positions:
Sc 0.0000 0.5000 0.0000  2 Hf 2.49
Sc 0.0000 0.0000 0.5000  2 Hf 2.49
Sc 0.5000 0.0000 0.0000  2 Hf 2.49
Hf 0.0000 0.0000 0.0000  6 Sc 2.49
Nb 0.5000 0.5000 0.5000  12 Sc 3.52

**Calculated total energy**: -26.53 eV per atom



[2]
Hf2ScNbTl at its PBEsol-relaxed geometry. Source: Alexandria, functional meta-GGA SCAN.

a = 4.6139 Å, b = 5.0043 Å, c = 5.0043 Å
α = 90.00°, β = 90.00°, γ = 90.00°
With the nearest neighbours (Å) after each atom.
Fractional positions:
Tl 0.5000 0.5000 0.5000  8 Hf 3.40, 4 Nb 3.54
Hf 0.0000 0.5000 0.0000  2 Sc 2.50
Hf 0.0000 0.0000 0.5000  2 Sc 2.50
Sc 0.0000 0.0000 0.0000  2 Nb 2.31, 4 Hf 2.50
Nb 0.5000 0.0000 0.0000  2 Sc 2.31

**Calculated total energy**: -47.68 eV per atom



[3]
HfTa2Nb at its PBEsol-relaxed geometry. Source: Alexandria, functional meta-GGA SCAN.

a = 4.7016 Å, b = 4.7016 Å, c = 4.7016 Å
α = 60.00°, β = 60.00°, γ = 60.00°
With the nearest neighbours (Å) after each atom.
Fractional positions:
Ta 0.2500 0.2500 0.2500  4 Nb 2.88, 4 Hf 2.88
Ta 0.7500 0.7500 0.7500  4 Hf 2.88, 4 Nb 2.88
Nb 0.0000 0.0000 0.0000  8 Ta 2.88
Hf 0.5000 0.5000 0.5000  8 Ta 2.88

**Calculated total energy**: -57.15 eV per atom



[4]
HfNbTe2 at its PBEsol-relaxed geometry. Source: Alexandria, functional meta-GGA SCAN.

a = 4.8693 Å, b = 4.8693 Å, c = 4.8693 Å
α = 60.00°, β = 60.00°, γ = 60.00°
With the nearest neighbours (Å) after each atom.
Fractional positions:
Nb 0.0000 0.0000 0.0000  8 Te 2.98
Te 0.7500 0.7500 0.7500  4 Hf 2.98, 4 Nb 2.98
Te 0.2500 0.2500 0.2500  4 Hf 2.98, 4 Nb 2.98
Hf 0.5000 0.5000 0.5000  8 Te 2.98

**Formation energy from raw total energies**: -0.341 eV/atom
**Distance to the lowest polymorph of the same formula**: 0.000 eV per atom
**Calculated total energy**: -42.92 eV per atom



calculated total energy of number 1 (HfSc3Nb)? -26.53 eV per atom



What did the third record say?
HfTa2Nb at its PBEsol-relaxed geometry. Source: Alexandria, functional meta-GGA SCAN.

a = 4.7016 Å, b = 4.7016 Å, c = 4.7016 Å
α = 60.00°, β = 60.00°, γ = 60.00°
With the nearest neighbours (Å) after each atom.
Fractional positions:
Ta 0.2500 0.2500 0.2500  4 Nb 2.88, 4 Hf 2.88
Ta 0.7500 0.7500 0.7500  4 Hf 2.88, 4 Nb 2.88
Nb 0.0000 0.0000 0.0000  8 Ta 2.88
Hf 0.5000 0.5000 0.5000  8 Ta 2.88

**Calculated total energy**: -57.15 eV per atom



What is the calculated total energy in the second record? -47.68 eV per atom